Record 1
{
  "formula": "CdAs2Cl",
  "functional": "PBE",
  "state": "relaxed",
  "cell": [[3.1021, 0.0000, 0.0000], [0.0000, 5.0869, 0.0000], [0.0000, 0.0000, 5.2670]],
  "species": ["As", "Cl", "Cd", "As"],
  "frac_coords": [[0.0000, 0.0000, 0.0000], [0.0000, 0.5000, 0.5000], [0.5000, 0.0000, 0.5000], [0.5000, 0.5000, 0.0000]],
  "space_group": "Pmmm (47)",
  "dos_at_fermi_per_ev_atom": 0.497,
  "e_form_raw_kj_per_mol_atoms": 18.3,
  "de_polymorph_mev_per_atom": 463
}

---

Record 2
{
  "formula": "Cd4As2Cl5",
  "functional": "PBE",
  "state": "relaxed",
  "cell": [[-2.3190, 2.8556, 1.7360], [-5.3233, -4.8626, -7.0243], [-1.1197, -7.6837, 6.4274]],
  "species": ["Cd", "Cd", "Cl", "Cd", "Cl", "As", "As", "Cl", "Cl", "Cd", "Cl"],
  "frac_coords": [[0.7014, 0.5395, 0.3354], [0.2986, 0.4605, 0.6646], [0.3332, 0.7301, 0.2904], [0.2087, 0.7429, 0.0303], [0.6668, 0.2699, 0.7096], [0.5337, 0.5874, 0.9217], [0.4663, 0.4126, 0.0783], [0.9064, 0.6354, 0.5911], [0.5000, 0.0000, 0.0000], [0.7913, 0.2571, 0.9697], [0.0936, 0.3646, 0.4089]],
  "space_group": "P-1 (2)",
  "dos_at_fermi_per_ev_atom": 0.466,
  "e_form_raw_kj_per_mol_atoms": -68.4,
  "de_polymorph_mev_per_atom": 0
}